[1]
First-principles (PBE-GGA) data for Ba4NaTl2Au after structural relaxation, as listed in Alexandria.

Computed properties:
**Energy of formation**: -0.3805 eV/atom
**DOS at the Fermi energy**: 8.24 states/eV/cell
**Calculated volume**: 312.9 Å³/cell
**M_tot**: 0.00 μB per cell

Structure (POSCAR):
```
Ba4NaTl2Au
1.0
6.040 0.000 0.000
3.020 5.231 0.000
3.020 1.744 9.903
Ba Au Tl Na
4 1 2 1
direct
0.614 0.614 0.157
0.386 0.386 0.843
0.133 0.133 0.601
0.867 0.867 0.399
0.500 0.500 0.500
0.741 0.741 0.778
0.259 0.259 0.222
0.000 0.000 0.000
```

---

[2]
First-principles (PBE-GGA) data for Be4Ni3Pd after structural relaxation, as listed in Alexandria.

Computed properties:
**Energy of formation**: -0.4882 eV/atom
**DOS at the Fermi energy**: 2.55 states/eV/cell
**Calculated volume**: 76.3 Å³/cell
**M_tot**: 0.00 μB per cell

Structure (POSCAR):
```
Be4Ni3Pd
1.0
-1.828 1.701 -1.015
-1.844 -0.955 1.720
2.826 7.247 7.052
Ni Be Pd
3 4 1
direct
0.500 0.500 0.740
0.500 0.500 0.260
0.500 0.500 0.500
0.000 0.000 0.856
0.000 0.000 0.144
0.000 0.000 0.620
0.000 0.000 0.380
0.500 0.500 0.000
```

---

[3]
First-principles (PBE-GGA) data for Os2RuBr after structural relaxation, as listed in Alexandria.

Computed properties:
**DOS at the Fermi energy**: 5.39 states/eV/cell
**Calculated volume**: 70.2 Å³/cell
**E_form (uncorrected)**: 744 meV per atom
**M_tot**: 0.00 μB per cell

Structure (POSCAR):
```
Os2RuBr
1.0
3.633 0.000 0.000
0.000 2.771 0.282
0.000 2.067 7.178
Ru Os Br
1 2 1
direct
0.000 0.436 0.439
0.500 0.130 0.245
0.000 0.811 0.064
0.500 0.123 0.752
```

---

[4]
First-principles (PBE-GGA) data for Cr2NiIr2Rh2 after structural relaxation, as listed in Alexandria.

Computed properties:
**Energy of formation**: 0.0405 eV/atom
**DOS at the Fermi energy**: 6.99 states/eV/cell
**Calculated volume**: 95.8 Å³/cell
**M_tot**: 0.00 μB per cell

Structure (POSCAR):
```
Cr2NiIr2Rh2
1.0
2.743 0.000 0.000
-1.372 6.723 -0.369
0.000 -2.464 5.327
Cr Rh Ni Ir
2 2 1 2
direct
0.786 0.572 0.392
0.214 0.428 0.608
0.653 0.306 0.904
0.347 0.694 0.096
0.000 0.000 0.500
0.428 0.856 0.749
0.572 0.144 0.251
```

---

[5]
First-principles (PBE-GGA) data for KLi2AcSb2 after structural relaxation, as listed in Alexandria.

Computed properties:
**Calculated volume**: 185.1 Å³/cell
**E_form (uncorrected)**: -803 meV per atom
**M_tot**: 0.00 μB per cell

Structure (POSCAR):
```
KLi2AcSb2
1.0
-3.894 2.866 0.119
-0.199 -4.432 1.927
2.728 3.374 8.041
Sb Li Ac K
2 2 1 1
direct
0.667 0.333 0.780
0.333 0.667 0.220
0.667 0.333 0.252
0.333 0.667 0.748
0.000 0.000 0.000
0.000 0.000 0.500
```

---

[6]
First-principles (PBE-GGA) data for Pm5ErSn4 after structural relaxation, as listed in Alexandria.

Computed properties:
**Energy of formation**: -0.5468 eV/atom
**DOS at the Fermi energy**: 6.46 states/eV/cell
**Calculated volume**: 320.3 Å³/cell
**M_tot**: 0.00 μB per cell

Structure (POSCAR):
```
Pm5ErSn4
1.0
5.373 0.000 0.000
0.000 6.707 -2.747
-2.687 -3.503 10.324
Sn Pm Er
4 5 1
direct
0.992 0.741 0.984
0.326 0.901 0.653
0.674 0.099 0.347
0.008 0.259 0.016
0.166 0.834 0.331
0.500 0.500 0.000
0.167 0.327 0.334
0.834 0.166 0.669
0.833 0.673 0.666
0.500 0.000 0.000
```

---

[7]
First-principles (PBE-GGA) data for HfCoNi3 after structural relaxation, as listed in Alexandria.

Computed properties:
**Energy of formation**: 0.5571 eV/atom
**DOS at the Fermi energy**: 6.21 states/eV/cell
**Calculated volume**: 76.3 Å³/cell
**M_tot**: 3.12 μB per cell

Structure (POSCAR):
```
HfCoNi3
1.0
4.241 0.000 0.000
0.000 4.241 0.000
0.000 0.000 4.241
Hf Ni Co
1 3 1
direct
0.500 0.500 0.500
0.000 0.000 0.500
0.500 0.000 0.000
0.000 0.500 0.000
0.000 0.000 0.000
```

---

[8]
First-principles (PBE-GGA) data for Nb3B2 after structural relaxation, as listed in Alexandria.

Computed properties:
**Energy of formation**: -0.6488 eV/atom
**DOS at the Fermi energy**: 3.24 states/eV/cell
**Calculated volume**: 128.8 Å³/cell
**M_tot**: 0.00 μB per cell

Structure (POSCAR):
```
Nb3B2
1.0
6.234 0.000 0.000
0.000 6.234 0.000
0.000 0.000 3.314
B Nb
4 6
direct
0.605 0.895 0.000
0.895 0.395 0.000
0.105 0.605 0.000
0.395 0.105 0.000
0.000 0.000 0.000
0.322 0.822 0.500
0.500 0.500 0.000
0.178 0.322 0.500
0.822 0.678 0.500
0.678 0.178 0.500
```

---

[9]
First-principles (PBE-GGA) data for Ti2Ge2W after structural relaxation, as listed in Alexandria.

Computed properties:
**Energy of formation**: -0.4759 eV/atom
**DOS at the Fermi energy**: 2.30 states/eV/cell
**Calculated volume**: 157.2 Å³/cell
**M_tot**: 0.00 μB per cell

Structure (POSCAR):
```
Ti2Ge2W
1.0
6.684 0.000 0.000
0.000 6.684 0.000
0.000 0.000 3.519
Ti Ge W
4 4 2
direct
0.670 0.830 0.500
0.830 0.330 0.500
0.330 0.170 0.500
0.170 0.670 0.500
0.867 0.633 0.000
0.367 0.867 0.000
0.133 0.367 0.000
0.633 0.133 0.000
0.500 0.500 0.000
0.000 0.000 0.000
```

---

[10]
First-principles (PBE-GGA) data for LaCdHRhAu after structural relaxation, as listed in Alexandria.

Computed properties:
**DOS at the Fermi energy**: 1.81 states/eV/cell
**Calculated volume**: 93.1 Å³/cell
**DFT total energy**: -4.34 eV/atom
**M_tot**: 0.00 μB per cell

Structure (POSCAR):
```
LaCdHRhAu
1.0
-3.071 1.246 3.607
-1.490 -3.207 -0.160
4.360 -2.157 2.642
H Cd La Rh Au
1 1 1 1 1
direct
0.838 0.000 0.255
0.291 0.000 0.286
0.895 0.500 0.676
0.764 0.500 0.184
0.434 0.000 0.820
```